TaMoCl2 | PBE-GGA | relaxed

abc: 2.9140 3.8152 5.8324
angles: 90.00 90.00 90.00
With the nearest neighbours (Å) after each atom.
Sites, in units of the cell vectors:
Mo: 0.5000 0.5000 0.2500  8 Cl 2.82, 2 Mo 2.91, 2 Ta 2.92
Cl: 0.0000 0.0000 0.9969  4 Ta 2.80, 4 Mo 2.82, 4 Cl 2.88-2.95
Cl: 0.0000 0.0000 0.5031  4 Ta 2.80, 4 Mo 2.82, 4 Cl 2.88-2.95
Ta: 0.5000 0.5000 0.7500  8 Cl 2.80, 2 Ta 2.91, 2 Mo 2.92

Computed properties:
* calculated density: 8.9 g/cm³
* uncorrected formation energy: 891 meV per atom
* DFT total energy: -5.70 eV per atom
* relative energy among the computed polymorphs: 1.368 eV/atom

***

TaMoCl2 | PBE-GGA | relaxed

abc: 4.3504 3.4792 4.5795
angles: 90.10 90.00 90.00
With the nearest neighbours (Å) after each atom.
Sites, in units of the cell vectors:
Mo: 0.5000 0.2500 0.2500  4 Cl 2.61, 4 Ta 2.87-2.88
Cl: 0.0000 0.9982 0.0019  2 Mo 2.61, 2 Ta 2.61, 4 Cl 2.86-2.90
Cl: 0.0000 0.5018 0.4981  2 Mo 2.61, 2 Ta 2.61, 4 Cl 2.86-2.90
Ta: 0.5000 0.7500 0.7500  4 Cl 2.61, 4 Mo 2.87-2.88

Computed properties:
* calculated density: 8.3 g/cm³
* uncorrected formation energy: 393 meV per atom
* DFT total energy: -6.20 eV per atom
* relative energy among the computed polymorphs: 0.870 eV/atom

***

TaMoCl2 | PBE-GGA | relaxed

abc: 5.7253 5.7253 6.2968
angles: 62.96 62.96 90.00
With the nearest neighbours (Å) after each atom.
Sites, in units of the cell vectors:
Mo: 0.5000 0.5000 0.0000  4 Cl 2.32
Mo: 0.2500 0.7500 0.5000  4 Cl 2.32
Cl: 0.6155 0.1250 0.2500  2 Mo 2.32, 2 Ta 2.39
Cl: 0.1345 0.6250 0.2500  2 Mo 2.32, 2 Ta 2.39
Cl: 0.3750 0.3845 0.7500  2 Mo 2.32, 2 Ta 2.39
Cl: 0.8750 0.8655 0.7500  2 Mo 2.32, 2 Ta 2.39
Ta: 0.0000 0.0000 0.0000  4 Cl 2.39
Ta: 0.7500 0.2500 0.5000  4 Cl 2.39

Computed properties:
* calculated density: 7.3 g/cm³
* uncorrected formation energy: 969 meV per atom
* DFT total energy: -5.63 eV per atom
* relative energy among the computed polymorphs: 1.446 eV/atom

***

TaMoCl2 | PBE-GGA | relaxed

abc: 2.9031 2.9031 9.6250
angles: 90.00 90.00 90.00
With the nearest neighbours (Å) after each atom.
Sites, in units of the cell vectors:
Mo: 0.5000 0.5000 0.2500  4 Mo 2.90
Cl: 0.0000 0.0000 0.9156  4 Ta 2.60, 4 Cl 2.90
Cl: 0.0000 0.0000 0.5844  4 Ta 2.60, 4 Cl 2.90
Ta: 0.5000 0.5000 0.7500  8 Cl 2.60, 4 Ta 2.90

Computed properties:
* calculated density: 7.1 g/cm³
* uncorrected formation energy: 708 meV per atom
* DFT total energy: -5.89 eV per atom
* relative energy among the computed polymorphs: 1.186 eV/atom

***

TaMoCl2 | PBE-GGA | relaxed

abc: 5.1438 5.1438 5.1438
angles: 134.94 134.94 65.63
With the nearest neighbours (Å) after each atom.
Sites, in units of the cell vectors:
Mo: 0.5000 0.5000 0.0000  8 Cl 2.79-2.93, 4 Ta 2.93
Cl: 0.0000 0.0000 0.0000  4 Mo 2.79, 4 Ta 2.93, 4 Cl 2.93
Cl: 0.2500 0.7500 0.5000  4 Ta 2.79, 4 Cl 2.93, 4 Mo 2.93
Ta: 0.7500 0.2500 0.5000  8 Cl 2.79-2.93, 4 Mo 2.93

Computed properties:
* calculated density: 8.6 g/cm³
* uncorrected formation energy: 743 meV per atom
* DFT total energy: -5.85 eV per atom
* relative energy among the computed polymorphs: 1.220 eV/atom

***

TaMoCl2 | PBE-GGA | relaxed

abc: 2.9660 3.3666 9.1927
angles: 92.27 90.00 90.00
With the nearest neighbours (Å) after each atom.
Sites, in units of the cell vectors:
Mo: 0.0000 0.3647 0.5299  2 Cl 2.40
Cl: 0.0000 0.9071 0.9300  2 Ta 2.46
Cl: 0.5000 0.3436 0.3238  2 Mo 2.40
Ta: 0.5000 0.8846 0.7163  2 Cl 2.46

Computed properties:
* calculated density: 6.3 g/cm³
* uncorrected formation energy: -477 meV per atom
* DFT total energy: -7.07 eV per atom
* relative energy among the computed polymorphs: 0.000 eV/atom

***

Ta2MoCl2 | PBE-GGA | relaxed

abc: 7.7036 7.7036 2.8235
angles: 90.00 90.00 90.00
With the nearest neighbours (Å) after each atom.
Sites, in units of the cell vectors:
Mo: 0.0000 0.0000 0.0000  2 Mo 2.82, 4 Cl 3.06, 8 Ta 3.13
Mo: 0.5000 0.5000 0.0000  2 Mo 2.82, 4 Cl 3.06, 8 Ta 3.13
Cl: 0.3772 0.8772 0.0000  2 Ta 2.47, 1 Cl 2.68
Cl: 0.8772 0.6228 0.0000  2 Ta 2.47, 1 Cl 2.68
Cl: 0.6228 0.1228 0.0000  2 Ta 2.47, 1 Cl 2.68
Cl: 0.1228 0.3772 0.0000  2 Ta 2.47, 1 Cl 2.68
Ta: 0.1910 0.6910 0.5000  2 Cl 2.47
Ta: 0.6910 0.8090 0.5000  2 Cl 2.47
Ta: 0.8090 0.3090 0.5000  2 Cl 2.47
Ta: 0.3090 0.1910 0.5000  2 Cl 2.47

Computed properties:
* calculated density: 10.5 g/cm³
* uncorrected formation energy: 727 meV per atom
* DFT total energy: -6.92 eV per atom
* relative energy among the computed polymorphs: 0.000 eV/atom

***

TaMo4Cl | PBE-GGA | relaxed

abc: 5.2869 5.2869 5.2869
angles: 60.00 60.00 60.00
With the nearest neighbours (Å) after each atom.
Sites, in units of the cell vectors:
Ta: 0.7500 0.7500 0.7500  12 Mo 3.10, 4 Cl 3.24
Mo: 0.8769 0.3744 0.3744  6 Mo 2.63-2.66
Mo: 0.3744 0.3744 0.8769  6 Mo 2.63-2.66
Mo: 0.3744 0.8769 0.3744  6 Mo 2.63-2.66
Mo: 0.3744 0.3744 0.3744  6 Mo 2.63-2.66
Cl: 0.0000 0.0000 0.0000  12 Mo 3.10, 4 Ta 3.24

Computed properties:
* calculated density: 9.5 g/cm³
* uncorrected formation energy: 733 meV per atom
* DFT total energy: -8.77 eV per atom

***

TaMoCl2 | PBE-GGA | relaxed

abc: 4.6458 4.6458 4.6458
angles: 60.00 60.00 60.00
With the nearest neighbours (Å) after each atom.
Sites, in units of the cell vectors:
Mo: 0.5000 0.5000 0.5000  4 Ta 2.84, 4 Cl 2.84
Cl: 0.0000 0.0000 0.0000  4 Ta 2.84, 4 Cl 2.84
Cl: 0.2500 0.2500 0.2500  4 Cl 2.84, 4 Mo 2.84
Ta: 0.7500 0.7500 0.7500  4 Mo 2.84, 4 Cl 2.84

Computed properties:
* calculated density: 8.1 g/cm³
* uncorrected formation energy: 881 meV per atom
* DFT total energy: -5.71 eV per atom
* relative energy among the computed polymorphs: 1.358 eV/atom

***

TaTiMo2Cl | PBE-GGA | relaxed

abc: 4.7281 4.3261 4.7281
angles: 90.00 90.00 90.00
With the nearest neighbours (Å) after each atom.
Sites, in units of the cell vectors:
Cl: 0.0000 0.5000 0.0000  2 Ti 2.16
Mo: 0.0000 0.0000 0.5000  2 Ti 2.36
Mo: 0.5000 0.0000 0.0000  2 Ti 2.36
Ti: 0.0000 0.0000 0.0000  2 Cl 2.16, 4 Mo 2.36
Ta: 0.5000 0.5000 0.5000  8 Mo 3.20, 4 Cl 3.34

Computed properties:
* calculated density: 7.8 g/cm³
* uncorrected formation energy: 1438 meV per atom
* DFT total energy: -7.21 eV per atom

***

TaVMo2Cl | PBE-GGA | relaxed

abc: 4.5577 4.8375 4.5577
angles: 90.00 90.00 90.00
With the nearest neighbours (Å) after each atom.
Sites, in units of the cell vectors:
Cl: 0.5000 0.5000 0.5000  4 Ta 3.22, 8 Mo 3.32
Mo: 0.0000 0.0000 0.5000  2 V 2.28
Mo: 0.5000 0.0000 0.0000  2 V 2.28
V: 0.0000 0.0000 0.0000  4 Mo 2.28, 2 Ta 2.42
Ta: 0.0000 0.5000 0.0000  2 V 2.42

Computed properties:
* calculated density: 7.6 g/cm³
* uncorrected formation energy: 1595 meV per atom
* DFT total energy: -7.30 eV per atom

***

YTaMoCl2 | PBE-GGA | relaxed

abc: 4.8063 6.1183 4.8063
angles: 90.00 90.00 90.00
With the nearest neighbours (Å) after each atom.
Sites, in units of the cell vectors:
Y: 0.0000 0.0000 0.0000  4 Cl 2.40
Mo: 0.0000 0.5000 0.0000  2 Y 3.06, 4 Ta 3.40
Cl: 0.0000 0.0000 0.5000  2 Y 2.40
Cl: 0.5000 0.0000 0.0000  2 Y 2.40
Ta: 0.5000 0.5000 0.5000  4 Mo 3.40

Computed properties:
* calculated density: 5.1 g/cm³
* uncorrected formation energy: 1108 meV per atom
* DFT total energy: -5.46 eV per atom

***

TbMoCl | PBE-GGA | relaxed

abc: 3.3383 4.7165 14.5784
angles: 119.02 117.24 45.03
With the nearest neighbours (Å) after each atom.
Sites, in units of the cell vectors:
Mo: 0.2379 0.1234 0.2646  4 Mo 2.65
Mo: 0.1417 0.5275 0.1687  4 Mo 2.65
Tb: 0.4116 0.7960 0.4377  4 Cl 2.91-2.92, 4 Mo 3.20-3.21
Tb: 0.9677 0.8547 0.9955  4 Cl 2.91-2.92, 4 Mo 3.20-3.21
Cl: 0.5486 0.4325 0.5745  4 Tb 2.91-2.92
Cl: 0.8304 0.2182 0.8587  4 Tb 2.91-2.92

Computed properties:
* calculated density: 6.9 g/cm³
* uncorrected formation energy: -788 meV per atom
* DFT total energy: -6.56 eV per atom

***

TcMoCl | PBE-GGA | relaxed

abc: 4.2156 4.2156 4.2156
angles: 60.00 60.00 60.00
With the nearest neighbours (Å) after each atom.
Sites, in units of the cell vectors:
Cl: 0.5000 0.5000 0.5000  4 Mo 2.58
Mo: 0.7500 0.7500 0.7500  4 Cl 2.58, 4 Tc 2.58
Tc: 0.0000 0.0000 0.0000  4 Mo 2.58

Computed properties:
* calculated density: 7.2 g/cm³
* uncorrected formation energy: 916 meV per atom
* DFT total energy: -6.77 eV per atom
* relative energy among the computed polymorphs: 0.687 eV/atom

***

TcMoCl2 | PBE-GGA | relaxed

abc: 4.1892 3.9154 4.0507
angles: 87.89 90.00 90.00
With the nearest neighbours (Å) after each atom.
Sites, in units of the cell vectors:
Mo: 0.5000 0.2500 0.2500  4 Cl 2.53, 2 Tc 2.76
Tc: 0.5000 0.7500 0.7500  4 Cl 2.54, 2 Mo 2.76
Cl: 0.0000 0.0017 0.0012  2 Mo 2.53, 2 Tc 2.54, 2 Cl 2.76-2.77
Cl: 0.0000 0.4983 0.4988  2 Mo 2.53, 2 Tc 2.54, 2 Cl 2.76-2.77

Computed properties:
* calculated density: 6.6 g/cm³
* uncorrected formation energy: 661 meV per atom
* DFT total energy: -5.56 eV per atom
* relative energy among the computed polymorphs: 0.928 eV/atom